1.
The following is a DFT calculation (GGA+U) of a relaxed structure of LiMnCoO4.

Summary:
Calculated volume ... 10.11 A^3/atom
Raw total energy ... -6.2519 eV per atom
Mass density ... 4335 kg/m3

a b c (Å): 5.758 5.814 8.459
angles (deg): 90.00 90.00 90.00
Space group Imma (No. 74)
Inequivalent atoms, fractional coordinates:
Li 0.250 0.250 0.250 x4
Mn 0.000 0.000 0.000 x4
Co 0.250 0.250 0.750 x4
O 0.000 0.026 0.771 x8
O 0.220 0.250 0.004 x8



2.
The following is a DFT calculation (GGA+U) of a relaxed structure of HoFeBO4.

Summary:
Calculated volume ... 10.25 A^3/atom
Raw total energy ... -7.4436 eV per atom
Mass density ... 6842 kg/m3

a b c (Å): 5.772 6.088 8.166
angles (deg): 90.00 90.00 90.00
Space group Imma (No. 74)
Inequivalent atoms, fractional coordinates:
Ho 0.000 0.000 0.000 x4
Fe 0.250 0.250 0.250 x4
B 0.000 0.250 0.618 x4
O 0.000 0.039 0.727 x8
O 0.215 0.250 0.509 x8